DFT (PBE) results for InAg2Cl after structural relaxation.

## Properties
Uncorrected formation energy (eV per formula unit): -0.399
Crystal system: orthorhombic

a = 3.572 Å, b = 5.750 Å, c = 8.483 Å
α = 90.00°, β = 90.00°, γ = 90.00°
Space group Cmmm (No. 65)
Symmetry-distinct sites (fractional):
1 In 0.000 0.000 0.000 x2
2 Ag 0.000 0.500 0.259 x4
3 Cl 0.000 0.000 0.500 x2

=====

DFT (PBE) results for LaTiS2O after structural relaxation.

## Properties
Uncorrected formation energy (eV per formula unit): -10.523
Crystal system: tetragonal

a = 3.820 Å, b = 3.820 Å, c = 13.106 Å
α = 90.00°, β = 90.00°, γ = 90.00°
Space group P4/nmm (No. 129, origin choice 2)
Symmetry-distinct sites (fractional):
1 La 0.250 0.250 0.102 x2
2 Ti 0.250 0.250 0.600 x2
3 S 0.250 0.250 0.410 x2
4 S 0.250 0.250 0.775 x2
5 O 0.250 0.750 0.000 x2

=====

DFT (PBE) results for Sn12Hg5Pd3 after structural relaxation.

## Properties
Crystal system: cubic
ΔH_f (0 K) (eV/atom): -0.002

a = 16.590 Å, b = 16.590 Å, c = 16.590 Å
α = 90.00°, β = 90.00°, γ = 90.00°
Space group Ia-3d (No. 230)
Symmetry-distinct sites (fractional):
1 Sn 0.017 0.088 0.651 x96
2 Hg 0.000 0.000 0.000 x16
3 Hg 0.000 0.250 0.375 x24
4 Pd 0.000 0.250 0.125 x24

=====

DFT (PBE) results for Hg2OsW after structural relaxation.

## Properties
Crystal system: orthorhombic
ΔH_f (0 K) (eV/atom): 0.827
Energy above the most stable polymorph in this dataset (meV/atom): 421

a = 3.006 Å, b = 4.863 Å, c = 10.610 Å
α = 90.00°, β = 90.00°, γ = 90.00°
Space group Imm2 (No. 44)
Symmetry-distinct sites (fractional):
1 Hg 0.000 0.000 0.000 x2
2 Hg 0.000 0.500 0.207 x2
3 Os 0.000 0.500 0.762 x2
4 W 0.000 0.000 0.443 x2

=====

DFT (PBE) results for ZrCo2 after structural relaxation.

## Properties
Crystal system: monoclinic
ΔH_f (0 K) (eV/atom): -0.189

a = 9.353 Å, b = 3.851 Å, c = 6.468 Å
α = 90.00°, β = 130.82°, γ = 90.00°
Space group C2/m (No. 12)
Symmetry-distinct sites (fractional):
1 Zr 0.056 0.000 0.304 x4
2 Co 0.159 0.500 0.708 x4
3 Co 0.163 0.500 0.094 x4

=====

DFT (PBE) results for Ga2RhBr after structural relaxation.

## Properties
Uncorrected formation energy (eV per formula unit): 1.539
Crystal system: cubic
Energy above the most stable polymorph in this dataset (meV/atom): 499

a = 6.776 Å, b = 6.776 Å, c = 6.776 Å
α = 90.00°, β = 90.00°, γ = 90.00°
Space group Fm-3m (No. 225)
Symmetry-distinct sites (fractional):
1 Ga 0.250 0.250 0.250 x8
2 Rh 0.000 0.000 0.000 x4
3 Br 0.000 0.000 0.500 x4